(1)
Density functional theory data (GGA-PBE) for a relaxed structure of Nd2Ho4Th5.

Computed properties:
E_tot = -5.77 eV/atom

Unit cell a=3.4758 b=8.8202 c=11.7229 alpha=85.67 beta=90.00 gamma=90.00
With the nearest neighbours (Å) after each atom.
Positions (direct):
Th (0.0000, 0.5772, 0.7129)  1 Nd 3.30, 4 Th 3.38-3.48, 4 Ho 3.59-3.67
Th (0.0000, 0.7960, 0.1744)  1 Nd 3.31, 4 Th 3.43-3.48, 4 Ho 3.60-3.67
Th (0.0000, 0.4228, 0.2871)  1 Nd 3.30, 4 Th 3.38-3.48, 4 Ho 3.59-3.67
Th (0.0000, 0.2040, 0.8256)  1 Nd 3.31, 4 Th 3.43-3.48, 4 Ho 3.60-3.67
Th (0.0000, 0.5000, 0.0000)  6 Th 3.38-3.48, 4 Ho 3.57
Ho (0.5000, 0.6945, 0.4450)  3 Ho 3.48-3.57, 6 Th 3.59-3.67, 4 Nd 3.68-3.70
Ho (0.5000, 0.1599, 0.0946)  3 Ho 3.48-3.72, 8 Th 3.57-3.78, 2 Nd 3.66
Ho (0.5000, 0.3055, 0.5550)  3 Ho 3.48-3.57, 6 Th 3.59-3.67, 4 Nd 3.68-3.70
Ho (0.5000, 0.8401, 0.9054)  3 Ho 3.48-3.72, 8 Th 3.57-3.78, 2 Nd 3.66
Nd (0.0000, 0.0548, 0.3641)  3 Nd 3.26-3.48, 2 Th 3.30-3.31
Nd (0.0000, 0.9452, 0.6359)  3 Nd 3.26-3.48, 2 Th 3.30-3.31


(2)
Density functional theory data (GGA-PBE) for a relaxed structure of Nd2Ho4Th3.

Computed properties:
E_tot = -5.49 eV/atom

Unit cell a=3.5703 b=3.5703 c=26.6704 alpha=90.00 beta=90.00 gamma=120.00
With the nearest neighbours (Å) after each atom.
Positions (direct):
Nd (0.6667, 0.3333, 0.0924)  1 Ho 3.40, 6 Nd 3.57, 3 Th 3.58
Th (0.0000, 0.0000, 0.3255)  6 Ho 3.49-3.60, 6 Th 3.57
Th (0.6667, 0.3333, 0.6507)  6 Ho 3.54-3.56, 6 Th 3.57
Ho (0.6667, 0.3333, 0.2199)  1 Nd 3.40, 3 Th 3.49, 6 Ho 3.57
Th (0.0000, 0.0000, 0.9824)  6 Th 3.57, 6 Nd 3.58-3.64
Ho (0.0000, 0.0000, 0.5418)  9 Ho 3.49-3.57, 3 Th 3.56
Ho (0.0000, 0.0000, 0.7585)  3 Th 3.54, 6 Ho 3.57, 3 Nd 3.61
Ho (0.6667, 0.3333, 0.4361)  9 Ho 3.49-3.57, 3 Th 3.60
Nd (0.6667, 0.3333, 0.8698)  6 Nd 3.57, 3 Ho 3.61, 3 Th 3.64


(3)
Density functional theory data (GGA-PBE) for a relaxed structure of Nd2Ho7Th2.

Computed properties:
Energy relative to the lowest polymorph listed for this composition = 0.04 eV/f.u.
E_tot = -4.95 eV/atom

Unit cell a=6.1261 b=8.0072 c=8.0072 alpha=91.96 beta=73.82 gamma=73.82
With the nearest neighbours (Å) after each atom.
Positions (direct):
Nd (0.5000, 0.7868, 0.2132)  6 Ho 3.31-3.55
Th (0.8134, 0.4075, 0.4075)  7 Ho 3.43-3.78, 2 Th 3.55-3.64, 2 Nd 3.75
Ho (0.1688, 0.0680, 0.5895)  5 Ho 3.21-3.59, 2 Nd 3.31-3.44
Ho (0.5773, 0.7556, 0.7556)  5 Ho 3.34-3.59, 3 Th 3.43-3.55, 2 Nd 3.55
Ho (0.1688, 0.5895, 0.0680)  5 Ho 3.21-3.59, 2 Nd 3.31-3.44
Ho (0.8312, 0.4105, 0.9320)  5 Ho 3.21-3.59, 2 Nd 3.31-3.44
Ho (0.8312, 0.9320, 0.4105)  5 Ho 3.21-3.59, 2 Nd 3.31-3.44
Th (0.1866, 0.5925, 0.5925)  7 Ho 3.43-3.78, 2 Th 3.55-3.64, 2 Nd 3.75
Ho (0.4227, 0.2444, 0.2444)  5 Ho 3.34-3.59, 3 Th 3.43-3.55, 2 Nd 3.55
Nd (0.5000, 0.2132, 0.7868)  6 Ho 3.31-3.55
Ho (0.0000, 0.0000, 0.0000)  6 Ho 3.27-3.49


(4)
Density functional theory data (GGA-PBE) for a relaxed structure of NdHo3Th3.

Computed properties:
Energy relative to the lowest polymorph listed for this composition = 0.00 eV/f.u.
E_tot = -5.78 eV/atom

Unit cell a=5.8616 b=9.4823 c=9.4819 alpha=120.00 beta=90.00 gamma=90.00
With the nearest neighbours (Å) after each atom.
Positions (direct):
Th (0.7500, 0.1880, 0.9548)  6 Th 3.52-3.57, 5 Ho 3.54-3.64, 1 Nd 3.62
Th (0.2500, 0.8120, 0.0452)  6 Th 3.52-3.57, 5 Ho 3.54-3.64, 1 Nd 3.62
Ho (0.7500, 0.4693, 0.3781)  5 Th 3.54-3.64, 3 Nd 3.56-3.61, 4 Ho 3.60-3.66
Nd (0.2500, 0.6667, 0.3334)  9 Ho 3.56-3.61, 3 Th 3.62
Ho (0.2500, 0.5307, 0.6219)  5 Th 3.54-3.64, 3 Nd 3.56-3.61, 4 Ho 3.60-3.66
Ho (0.7500, 0.6220, 0.0913)  5 Th 3.54-3.64, 3 Nd 3.56-3.61, 4 Ho 3.60-3.66
Ho (0.2500, 0.3780, 0.9087)  5 Th 3.54-3.64, 3 Nd 3.56-3.61, 4 Ho 3.60-3.66
Th (0.7500, 0.0452, 0.2330)  6 Th 3.52-3.57, 5 Ho 3.54-3.65, 1 Nd 3.62
Nd (0.7500, 0.3333, 0.6666)  9 Ho 3.56-3.61, 3 Th 3.62
Th (0.2500, 0.2334, 0.1882)  6 Th 3.52-3.57, 5 Ho 3.54-3.64, 1 Nd 3.62
Th (0.7500, 0.7666, 0.8118)  6 Th 3.52-3.57, 5 Ho 3.54-3.64, 1 Nd 3.62
Ho (0.2500, 0.0911, 0.4692)  5 Th 3.54-3.65, 3 Nd 3.56-3.61, 4 Ho 3.60-3.66
Ho (0.7500, 0.9089, 0.5308)  5 Th 3.54-3.65, 3 Nd 3.56-3.61, 4 Ho 3.60-3.66
Th (0.2500, 0.9548, 0.7670)  6 Th 3.52-3.57, 5 Ho 3.54-3.65, 1 Nd 3.62